{
  "formula": "CrC2",
  "functional": "PBE",
  "state": "optimized geometry",
  "de_polymorph_ev_per_atom": 0.764,
  "formation_energy_mev_per_atom": 1259,
  "crystal_system": "tetragonal",
  "sg": "P4/mmm (123)",
  "total_energy_ry_per_atom": -0.595,
  "cell": [[-2.2247, 0.0315, -1.2618], [0.2651, -2.4883, -0.5295], [-1.6222, -0.7773, 2.8406]],
  "species": ["Cr", "C", "C"],
  "fractional_positions": [[0.0000, 0.0000, 0.0000], [0.5000, 0.0000, 0.5000], [0.0000, 0.5000, 0.5000]]
}